# 1
This record from Alexandria via LeMat-Bulk describes Dy3Ho3Sc2 after structural relaxation. The functional is PBE-GGA. Values from VASP.

Formation enthalpy at 0 K = 0.041 eV per atom
Total magnetic moment = 0.000 μB/f.u.
E above lowest polymorph = 0 meV per atom
Space-group type = Pmmm (47)
Crystal system = orthorhombic
Energy = -39.87 eV/cell

Cell and atoms, written as Quantum ESPRESSO input:
```
&SYSTEM
  ibrav = 0, nat = 8, ntyp = 3
/
ATOMIC_SPECIES
Dy 162.50 Dy.upf
Ho 164.93 Ho.upf
Sc 44.96 Sc.upf
ATOMIC_POSITIONS crystal
Dy 0.0000 0.0000 0.0000
Dy 0.0000 0.0000 0.5000
Dy 0.5000 0.5000 0.0000
Ho 0.0000 0.5000 0.2501
Ho 0.0000 0.5000 0.7499
Ho 0.5000 0.5000 0.5000
Sc 0.5000 0.0000 0.2503
Sc 0.5000 0.0000 0.7497
CELL_PARAMETERS angstrom
4.9008 0.0000 0.0000
0.0000 4.9081 0.0000
0.0000 0.0000 9.7840
```

---

# 2
This record from Alexandria via LeMat-Bulk describes Dy4Ho5Sc2 after structural relaxation. The functional is PBE-GGA. Values from VASP.

Formation enthalpy at 0 K = 0.107 eV per atom
Total magnetic moment = 0.000 μB/f.u.
E above lowest polymorph = 0 meV per atom
Space-group type = C2/m (12)
Crystal system = monoclinic
Energy = -52.78 eV/cell

Cell and atoms, written as Quantum ESPRESSO input:
```
&SYSTEM
  ibrav = 0, nat = 11, ntyp = 3
/
ATOMIC_SPECIES
Dy 162.50 Dy.upf
Ho 164.93 Ho.upf
Sc 44.96 Sc.upf
ATOMIC_POSITIONS crystal
Dy 0.0381 0.0381 0.3461
Dy 0.1292 0.1292 0.0405
Dy 0.8708 0.8708 0.9595
Dy 0.9619 0.9619 0.6539
Ho 0.1833 0.1833 0.4770
Ho 0.2756 0.2756 0.1726
Ho 0.5000 0.5000 0.0000
Ho 0.7244 0.7244 0.8274
Ho 0.8167 0.8167 0.5230
Sc 0.4119 0.4119 0.3062
Sc 0.5881 0.5881 0.6938
CELL_PARAMETERS angstrom
11.6224 -1.7330 0.0000
11.6224 1.7330 0.0000
-0.6970 0.0000 8.3853
```

---

# 3
This record from Alexandria via LeMat-Bulk describes DyHo4Sc5 after structural relaxation. The functional is PBE-GGA. Values from VASP.

Formation enthalpy at 0 K = 0.254 eV per atom
Total magnetic moment = 0.000 μB/f.u.
E above lowest polymorph = 0 meV per atom
Space-group type = C2/m (12)
Crystal system = monoclinic
Energy = -52.03 eV/cell

Cell and atoms, written as Quantum ESPRESSO input:
```
&SYSTEM
  ibrav = 0, nat = 10, ntyp = 3
/
ATOMIC_SPECIES
Dy 162.50 Dy.upf
Ho 164.93 Ho.upf
Sc 44.96 Sc.upf
ATOMIC_POSITIONS crystal
Dy 0.0000 0.0000 0.0000
Ho 0.2472 0.2472 0.8697
Ho 0.2538 0.2538 0.3722
Ho 0.7462 0.7462 0.6278
Ho 0.7528 0.7528 0.1303
Sc 0.0530 0.0530 0.4019
Sc 0.4493 0.4493 0.7893
Sc 0.5000 0.5000 0.5000
Sc 0.5507 0.5507 0.2107
Sc 0.9470 0.9470 0.5981
CELL_PARAMETERS angstrom
7.3294 -2.6647 0.0000
7.3294 2.6647 0.0000
-6.1459 0.0000 7.4716
```